# HfCo2ReSb, optimized geometry, DFT PBE
# total moment	0.8829	μB/atom
# formation energy (no corrections)	890	kJ/mol of formula units
data_HfCo2ReSb
_cell_length_a 4.460
_cell_length_b 4.460
_cell_length_c 5.294
_cell_angle_alpha 90.00
_cell_angle_beta 90.00
_cell_angle_gamma 90.00
_space_group_name_H-M_alt 'P 4/m m m'
_space_group_IT_number 123
_space_group_name_Hall '-P 4 2'
loop_
_atom_site_label
_atom_site_type_symbol
_atom_site_fract_x
_atom_site_fract_y
_atom_site_fract_z
Hf1 Hf 0.000 0.000 0.000
Co1 Co 0.000 0.500 0.000
Re1 Re 0.500 0.500 0.500
Sb1 Sb 0.000 0.000 0.500